VASP calculation (PBE) on a relaxed structure of YZnHg.

## Properties
The formation energy comes out at -419 meV/atom.

POSCAR file:
```
YZnHg
1.0
10.7892 0.0000 0.0000
0.0000 4.6395 0.0000
-4.7439 0.0000 5.3659
Y Zn Hg
4 4 4
Direct
0.0208 0.0000 0.2721
0.4792 0.5000 0.7279
0.5208 0.5000 0.2721
0.9792 0.0000 0.7279
0.1551 0.5000 0.1260
0.3449 0.0000 0.8740
0.6551 0.0000 0.1260
0.8449 0.5000 0.8740
0.1766 0.5000 0.7094
0.3234 0.0000 0.2906
0.6766 0.0000 0.7094
0.8234 0.5000 0.2906
```



VASP calculation (PBE) on a relaxed structure of Tb6SmEr2Mg.

## Properties
The formation energy comes out at 114 meV/atom.

POSCAR file:
```
Tb6SmEr2Mg
1.0
5.0011 -9.6488 0.0000
5.0011 9.6488 0.0000
-0.9881 0.0000 6.5256
Tb Sm Er Mg
12 2 4 2
Direct
0.0746 0.7870 0.9627
0.0851 0.5682 0.2833
0.2130 0.9254 0.5373
0.3105 0.4764 0.0209
0.4318 0.9149 0.2167
0.4764 0.3105 0.5209
0.5236 0.6895 0.4791
0.5682 0.0851 0.7833
0.6895 0.5236 0.9791
0.7870 0.0746 0.4627
0.9149 0.4318 0.7167
0.9254 0.2130 0.0373
0.0105 0.9895 0.2500
0.9895 0.0105 0.7500
0.1742 0.3440 0.5051
0.3440 0.1742 0.0051
0.6560 0.8258 0.9949
0.8258 0.6560 0.4949
0.2928 0.7072 0.7500
0.7072 0.2928 0.2500
```



VASP calculation (PBE) on a relaxed structure of LaPr3Tl4Se8.

## Properties
Its uncorrected formation energy is -1.400 eV per atom.

POSCAR file:
```
LaPr3Tl4Se8
1.0
7.5762 -4.3743 0.0000
7.5762 4.3743 0.0000
-5.0514 0.0000 7.7421
La Pr Tl Se
1 3 4 8
Direct
0.0000 0.0000 0.0000
0.0000 0.5000 0.0000
0.5000 0.0000 0.0000
0.5000 0.5000 0.0000
0.0000 0.0000 0.5000
0.0000 0.5000 0.5000
0.5000 0.0000 0.5000
0.5000 0.5000 0.5000
0.2384 0.7362 0.2120
0.2388 0.2388 0.2122
0.2623 0.2623 0.7877
0.2638 0.7616 0.7880
0.7362 0.2384 0.2120
0.7377 0.7377 0.2123
0.7612 0.7612 0.7878
0.7616 0.2638 0.7880
```